## Hf4Fe (PBE)

Data for a geometry-optimized Hf4Fe structure.

a = 5.732 Å, b = 5.732 Å, c = 5.732 Å
α = 94.58°, β = 94.58°, γ = 147.17°
Fractional coordinates of all 5 atoms:
Hf (0.082, 0.730, 0.812)
Hf (0.270, 0.082, 0.352)
Hf (0.730, 0.918, 0.648)
Hf (0.918, 0.270, 0.188)
Fe (0.500, 0.500, 0.000)

For the total magnetization, the calculation gives 0.29 μB per formula unit. As for the formation energy: -0.40 eV per formula unit. The value obtained for the total energy is -9.736 eV/atom. As for the relative energy among the computed polymorphs: 0.0 kJ/mol of atoms.